A geometry-optimized SrHgMo2 structure. Source: Alexandria, functional PBE.

Calculated values
* formation energy from the elements: 856 meV per atom
* symmetry: No. 119
* electronic total energy: -5.056 eV/atom
* total magnetic moment: 1.19 μB per formula unit

Cell: 4.904 4.904 4.904 Å, 119.90 119.90 90.17°
Fractional positions:
Sr  0.000  0.000  0.000
Hg  0.750  0.250  0.500
Mo  0.250  0.750  0.500
Mo  0.500  0.500  0.000